*i*
DFT (PBE-GGA) results for a relaxed structure of Sc5Rh3.

abc: 6.861 9.334 4.555
angles: 90.00 90.00 90.00
Positions (direct):
1 Sc 0.000 0.000 0.000
2 Sc 0.223 0.500 0.500
3 Sc 0.250 0.250 0.000
4 Sc 0.250 0.750 0.000
5 Sc 0.277 0.000 0.500
6 Sc 0.500 0.500 0.000
7 Sc 0.723 0.000 0.500
8 Sc 0.750 0.250 0.000
9 Sc 0.750 0.750 0.000
10 Sc 0.777 0.500 0.500
11 Rh 0.000 0.229 0.500
12 Rh 0.000 0.500 0.000
13 Rh 0.000 0.771 0.500
14 Rh 0.500 0.000 0.000
15 Rh 0.500 0.271 0.500
16 Rh 0.500 0.729 0.500

Space-group type: Cmmm, No. 65

*ii*
DFT (PBE-GGA) results for a relaxed structure of Sc5Rh3.

abc: 10.272 10.272 5.880
angles: 90.00 90.00 90.00
Positions (direct):
1 Sc 0.039 0.165 0.139
2 Sc 0.039 0.335 0.639
3 Sc 0.165 0.039 0.639
4 Sc 0.165 0.461 0.139
5 Sc 0.250 0.750 0.000
6 Sc 0.250 0.750 0.500
7 Sc 0.335 0.039 0.139
8 Sc 0.335 0.461 0.639
9 Sc 0.461 0.165 0.639
10 Sc 0.461 0.335 0.139
11 Sc 0.539 0.665 0.861
12 Sc 0.539 0.835 0.361
13 Sc 0.665 0.539 0.361
14 Sc 0.665 0.961 0.861
15 Sc 0.750 0.250 0.000
16 Sc 0.750 0.250 0.500
17 Sc 0.835 0.539 0.861
18 Sc 0.835 0.961 0.361
19 Sc 0.961 0.665 0.361
20 Sc 0.961 0.835 0.861
21 Rh 0.094 0.594 0.750
22 Rh 0.094 0.906 0.250
23 Rh 0.250 0.250 0.386
24 Rh 0.250 0.250 0.886
25 Rh 0.406 0.594 0.250
26 Rh 0.406 0.906 0.750
27 Rh 0.594 0.094 0.250
28 Rh 0.594 0.406 0.750
29 Rh 0.750 0.750 0.114
30 Rh 0.750 0.750 0.614
31 Rh 0.906 0.094 0.750
32 Rh 0.906 0.406 0.250

Space-group type: P4/ncc, No. 130

Short version: *i* is the least stable of them.

*i*
DFT (PBE-GGA) results for a relaxed structure of Sc4Rh5.

abc: 6.571 6.571 6.571
angles: 95.31 95.31 144.56
Positions (direct):
1 Sc 0.000 0.287 0.287
2 Sc 0.000 0.713 0.713
3 Sc 0.287 0.000 0.287
4 Sc 0.713 0.000 0.713
5 Rh 0.000 0.000 0.000
6 Rh 0.335 0.335 0.669
7 Rh 0.335 0.665 0.000
8 Rh 0.665 0.335 0.000
9 Rh 0.665 0.665 0.331

Space-group type: I4/mmm, No. 139

*ii*
DFT (PBE-GGA) results for a relaxed structure of Sc4Rh5.

abc: 7.834 7.834 5.658
angles: 90.00 90.00 120.00
Positions (direct):
1 Sc 0.000 0.000 0.000
2 Sc 0.000 0.000 0.500
3 Sc 0.000 0.379 0.250
4 Sc 0.000 0.621 0.750
5 Sc 0.379 0.000 0.250
6 Sc 0.379 0.379 0.750
7 Sc 0.621 0.000 0.750
8 Sc 0.621 0.621 0.250
9 Rh 0.000 0.295 0.750
10 Rh 0.000 0.705 0.250
11 Rh 0.295 0.000 0.750
12 Rh 0.295 0.295 0.250
13 Rh 0.333 0.667 0.000
14 Rh 0.333 0.667 0.500
15 Rh 0.667 0.333 0.000
16 Rh 0.667 0.333 0.500
17 Rh 0.705 0.000 0.250
18 Rh 0.705 0.705 0.750

Space-group type: P6_3/mcm, No. 193

Short version: *i* is the least stable of them.

*i*
DFT (PBE-GGA) results for a relaxed structure of ScRhSe2.

abc: 6.856 3.966 6.062
angles: 90.00 112.06 90.00
Positions (direct):
1 Sc 0.000 0.000 0.000
2 Sc 0.500 0.500 0.000
3 Rh 0.000 0.500 0.500
4 Rh 0.500 0.000 0.500
5 Se 0.246 0.000 0.736
6 Se 0.254 0.500 0.264
7 Se 0.746 0.500 0.736
8 Se 0.754 0.000 0.264

Space-group type: C2/m, No. 12

*ii*
DFT (PBE-GGA) results for a relaxed structure of ScRhSe2.

abc: 3.932 3.932 21.865
angles: 90.00 90.00 120.00
Positions (direct):
1 Sc 0.000 0.000 0.000
2 Sc 0.333 0.667 0.667
3 Sc 0.667 0.333 0.333
4 Rh 0.000 0.000 0.240
5 Rh 0.333 0.667 0.907
6 Rh 0.667 0.333 0.573
7 Se 0.000 0.000 0.545
8 Se 0.000 0.000 0.728
9 Se 0.333 0.667 0.212
10 Se 0.333 0.667 0.394
11 Se 0.667 0.333 0.061
12 Se 0.667 0.333 0.879

Space-group type: R3m, No. 160

*iii*
DFT (PBE-GGA) results for a relaxed structure of ScRhSe2.

abc: 3.665 3.665 24.039
angles: 90.00 90.00 120.00
Positions (direct):
1 Sc 0.000 0.000 0.000
2 Sc 0.333 0.667 0.667
3 Sc 0.667 0.333 0.333
4 Rh 0.000 0.000 0.500
5 Rh 0.333 0.667 0.167
6 Rh 0.667 0.333 0.833
7 Se 0.000 0.000 0.401
8 Se 0.000 0.000 0.599
9 Se 0.333 0.667 0.067
10 Se 0.333 0.667 0.266
11 Se 0.667 0.333 0.734
12 Se 0.667 0.333 0.933

Space-group type: R-3m, No. 166

*iv*
DFT (PBE-GGA) results for a relaxed structure of ScRhSe2.

abc: 4.550 4.550 3.315
angles: 90.00 90.00 90.00
Positions (direct):
1 Sc 0.000 0.000 0.000
2 Rh 0.500 0.500 0.000
3 Se 0.000 0.500 0.500
4 Se 0.500 0.000 0.500

Space-group type: P4/mmm, No. 123

Short version: *iii* is the least stable of them.

*i*
DFT (PBE-GGA) results for a relaxed structure of Sc3Si3Rh.

abc: 5.412 5.412 12.864
angles: 108.76 108.76 43.73
Positions (direct):
1 Sc 0.020 0.020 0.374
2 Sc 0.102 0.102 0.921
3 Sc 0.239 0.239 0.225
4 Sc 0.761 0.761 0.775
5 Sc 0.898 0.898 0.079
6 Sc 0.980 0.980 0.626
7 Si 0.374 0.374 0.452
8 Si 0.383 0.383 0.926
9 Si 0.463 0.463 0.766
10 Si 0.537 0.537 0.234
11 Si 0.617 0.617 0.074
12 Si 0.626 0.626 0.548
13 Rh 0.256 0.256 0.589
14 Rh 0.744 0.744 0.411

Space-group type: C2/m, No. 12

*ii*
DFT (PBE-GGA) results for a relaxed structure of Sc3Si3Rh.

abc: 11.699 4.021 10.237
angles: 90.00 90.00 90.00
Positions (direct):
1 Sc 0.020 0.250 0.123
2 Sc 0.101 0.250 0.421
3 Sc 0.201 0.750 0.658
4 Sc 0.299 0.250 0.158
5 Sc 0.399 0.750 0.921
6 Sc 0.480 0.750 0.623
7 Sc 0.520 0.250 0.377
8 Sc 0.601 0.250 0.079
9 Sc 0.701 0.750 0.842
10 Sc 0.799 0.250 0.342
11 Sc 0.899 0.750 0.579
12 Sc 0.980 0.750 0.877
13 Si 0.045 0.250 0.693
14 Si 0.158 0.750 0.250
15 Si 0.177 0.750 0.015
16 Si 0.323 0.250 0.515
17 Si 0.342 0.250 0.750
18 Si 0.455 0.750 0.193
19 Si 0.545 0.250 0.807
20 Si 0.658 0.750 0.250
21 Si 0.677 0.750 0.485
22 Si 0.823 0.250 0.985
23 Si 0.842 0.250 0.750
24 Si 0.955 0.750 0.307
25 Rh 0.178 0.250 0.889
26 Rh 0.322 0.750 0.389
27 Rh 0.678 0.250 0.611
28 Rh 0.822 0.750 0.111

Space-group type: Pnma, No. 62

Short version: *i* is the least stable of them.

*i*
DFT (PBE-GGA) results for a relaxed structure of Sm2ScRh.

abc: 3.424 3.439 8.583
angles: 90.00 90.00 90.00
Positions (direct):
1 Sm 0.000 0.000 0.000
2 Sm 0.500 0.500 0.330
3 Sc 0.000 0.000 0.626
4 Rh 0.500 0.500 0.785

Space-group type: Pmm2, No. 25

*ii*
DFT (PBE-GGA) results for a relaxed structure of Sm2ScRh.

abc: 3.528 3.528 31.142
angles: 90.00 90.00 120.00
Positions (direct):
1 Sm 0.000 0.000 0.104
2 Sm 0.000 0.000 0.896
3 Sm 0.333 0.667 0.562
4 Sm 0.333 0.667 0.771
5 Sm 0.667 0.333 0.229
6 Sm 0.667 0.333 0.438
7 Sc 0.000 0.000 0.000
8 Sc 0.333 0.667 0.667
9 Sc 0.667 0.333 0.333
10 Rh 0.000 0.000 0.500
11 Rh 0.333 0.667 0.167
12 Rh 0.667 0.333 0.833

Space-group type: R-3m, No. 166

Short version: *ii* is the least stable of them.

*i*
DFT (PBE-GGA) results for a relaxed structure of SmScRh.

abc: 7.093 4.524 12.815
angles: 90.00 91.20 90.00
Positions (direct):
1 Sm 0.002 0.250 0.288
2 Sm 0.378 0.750 0.911
3 Sm 0.483 0.750 0.620
4 Sm 0.517 0.250 0.380
5 Sm 0.622 0.250 0.089
6 Sm 0.998 0.750 0.712
7 Sc 0.028 0.250 0.916
8 Sc 0.143 0.250 0.545
9 Sc 0.348 0.750 0.213
10 Sc 0.652 0.250 0.787
11 Sc 0.857 0.750 0.455
12 Sc 0.972 0.750 0.084
13 Rh 0.211 0.250 0.108
14 Rh 0.235 0.750 0.435
15 Rh 0.280 0.250 0.759
16 Rh 0.720 0.750 0.241
17 Rh 0.765 0.250 0.565
18 Rh 0.789 0.750 0.892

Space-group type: P2_1/m, No. 11

*ii*
DFT (PBE-GGA) results for a relaxed structure of SmScRh.

abc: 4.429 4.548 6.953
angles: 90.00 94.41 90.00
Positions (direct):
1 Sm 0.238 0.250 0.373
2 Sm 0.762 0.750 0.627
3 Sc 0.258 0.750 0.003
4 Sc 0.742 0.250 0.997
5 Rh 0.199 0.250 0.776
6 Rh 0.801 0.750 0.224

Space-group type: P2_1/m, No. 11

Short version: *ii* is the least stable of them.

*i*
DFT (PBE-GGA) results for a relaxed structure of SmScRh.

abc: 6.676 6.676 6.676
angles: 90.00 90.00 90.00
Positions (direct):
1 Sm 0.000 0.000 0.000
2 Sm 0.000 0.500 0.500
3 Sm 0.500 0.000 0.500
4 Sm 0.500 0.500 0.000
5 Sc 0.000 0.000 0.500
6 Sc 0.000 0.500 0.000
7 Sc 0.500 0.000 0.000
8 Sc 0.500 0.500 0.500
9 Rh 0.250 0.250 0.750
10 Rh 0.250 0.750 0.250
11 Rh 0.750 0.250 0.250
12 Rh 0.750 0.750 0.750

Space-group type: F-43m, No. 216

*ii*
DFT (PBE-GGA) results for a relaxed structure of SmScRh.

abc: 3.360 3.360 12.187
angles: 90.00 90.00 90.00
Positions (direct):
1 Sm 0.000 0.000 0.000
2 Sm 0.500 0.500 0.500
3 Sc 0.000 0.000 0.270
4 Sc 0.500 0.500 0.770
5 Rh 0.000 0.000 0.658
6 Rh 0.500 0.500 0.158

Space-group type: I4mm, No. 107

*iii*
DFT (PBE-GGA) results for a relaxed structure of SmScRh.

abc: 4.298 4.298 4.586
angles: 90.00 90.00 120.00
Positions (direct):
1 Sm 0.000 0.000 0.000
2 Sc 0.667 0.333 0.494
3 Rh 0.333 0.667 0.653

Space-group type: P3m1, No. 156

Short version: *iii* is the least stable of them.

*i*
DFT (PBE-GGA) results for a relaxed structure of SrSc2Rh2.

abc: 4.719 4.719 10.929
angles: 90.00 90.00 90.00
Positions (direct):
1 Sr 0.000 0.000 0.000
2 Sr 0.500 0.500 0.500
3 Sc 0.000 0.000 0.345
4 Sc 0.000 0.000 0.655
5 Sc 0.500 0.500 0.155
6 Sc 0.500 0.500 0.845
7 Rh 0.000 0.500 0.250
8 Rh 0.000 0.500 0.750
9 Rh 0.500 0.000 0.250
10 Rh 0.500 0.000 0.750

Space-group type: I4/mmm, No. 139

*ii*
DFT (PBE-GGA) results for a relaxed structure of SrSc2Rh2.

abc: 4.421 4.421 11.641
angles: 90.00 90.00 90.00
Positions (direct):
1 Sr 0.000 0.000 0.000
2 Sr 0.500 0.500 0.500
3 Sc 0.000 0.500 0.250
4 Sc 0.000 0.500 0.750
5 Sc 0.500 0.000 0.250
6 Sc 0.500 0.000 0.750
7 Rh 0.000 0.000 0.384
8 Rh 0.000 0.000 0.616
9 Rh 0.500 0.500 0.116
10 Rh 0.500 0.500 0.884

Space-group type: I4/mmm, No. 139

Short version: *i* is the least stable of them.

*i*
DFT (PBE-GGA) results for a relaxed structure of SrSc2Rh.

abc: 7.081 7.081 7.081
angles: 90.00 90.00 90.00
Positions (direct):
1 Sr 0.000 0.000 0.000
2 Sr 0.000 0.500 0.500
3 Sr 0.500 0.000 0.500
4 Sr 0.500 0.500 0.000
5 Sc 0.250 0.250 0.250
6 Sc 0.250 0.250 0.750
7 Sc 0.250 0.750 0.250
8 Sc 0.250 0.750 0.750
9 Sc 0.750 0.250 0.250
10 Sc 0.750 0.250 0.750
11 Sc 0.750 0.750 0.250
12 Sc 0.750 0.750 0.750
13 Rh 0.000 0.000 0.500
14 Rh 0.000 0.500 0.000
15 Rh 0.500 0.000 0.000
16 Rh 0.500 0.500 0.500

Space-group type: Fm-3m, No. 225

*ii*
DFT (PBE-GGA) results for a relaxed structure of SrSc2Rh.

abc: 4.036 4.036 25.054
angles: 90.00 90.00 120.00
Positions (direct):
1 Sr 0.000 0.000 0.000
2 Sr 0.333 0.667 0.667
3 Sr 0.667 0.333 0.333
4 Sc 0.000 0.000 0.214
5 Sc 0.000 0.000 0.786
6 Sc 0.333 0.667 0.453
7 Sc 0.333 0.667 0.881
8 Sc 0.667 0.333 0.119
9 Sc 0.667 0.333 0.547
10 Rh 0.000 0.000 0.500
11 Rh 0.333 0.667 0.167
12 Rh 0.667 0.333 0.833

Space-group type: R-3m, No. 166

*iii*
DFT (PBE-GGA) results for a relaxed structure of SrSc2Rh.

abc: 3.651 3.651 7.994
angles: 90.00 90.00 90.00
Positions (direct):
1 Sr 0.000 0.000 0.000
2 Sc 0.000 0.000 0.408
3 Sc 0.500 0.500 0.650
4 Rh 0.500 0.500 0.316

Space-group type: P4mm, No. 99

Short version: *i* is the least stable of them.

*i*
DFT (PBE-GGA) results for a relaxed structure of SrSc2Rh.

abc: 3.364 3.366 9.079
angles: 90.00 90.10 90.00
Positions (direct):
1 Sr 0.000 0.000 0.000
2 Sc 0.499 0.500 0.336
3 Sc 0.501 0.500 0.664
4 Rh 0.000 0.000 0.500

Space-group type: P2/m, No. 10

*ii*
DFT (PBE-GGA) results for a relaxed structure of SrSc2Rh.

abc: 6.164 10.470 3.238
angles: 90.00 116.98 90.00
Positions (direct):
1 Sr 0.000 0.000 0.000
2 Sr 0.500 0.500 0.000
3 Sc 0.250 0.250 0.500
4 Sc 0.250 0.750 0.500
5 Sc 0.750 0.250 0.500
6 Sc 0.750 0.750 0.500
7 Rh 0.000 0.500 0.000
8 Rh 0.500 0.000 0.000

Space-group type: C2/m, No. 12

*iii*
DFT (PBE-GGA) results for a relaxed structure of SrSc2Rh.

abc: 3.528 5.603 10.321
angles: 90.00 90.00 90.00
Positions (direct):
1 Sr 0.000 0.000 0.000
2 Sr 0.500 0.500 0.500
3 Sc 0.000 0.500 0.189
4 Sc 0.000 0.500 0.811
5 Sc 0.500 0.000 0.311
6 Sc 0.500 0.000 0.689
7 Rh 0.000 0.000 0.500
8 Rh 0.500 0.500 0.000

Space-group type: Immm, No. 71

Short version: *ii* is the least stable of them.